[1]
## NbV2Pd2 (PBE)

Data for NbV2Pd2 after structural relaxation.

a = 7.610 Å, b = 7.610 Å, c = 2.675 Å
α = 90.00°, β = 90.00°, γ = 90.00°
Sites, in units of the cell vectors:
V: 0.171 0.671 0.500
V: 0.329 0.171 0.500
V: 0.829 0.329 0.500
V: 0.671 0.829 0.500
Pd: 0.626 0.126 0.000
Pd: 0.126 0.374 0.000
Pd: 0.374 0.874 0.000
Pd: 0.874 0.626 0.000
Nb: 0.500 0.500 0.000
Nb: 0.000 0.000 0.000

The formation energy from the elements comes out at -29 meV per atom. The volume comes out at 155 Å³/cell. Its space-group type is P4/mbm (127). Its total energy is -77.7 eV per cell.

[2]
## NbV2Pd (PBE)

Data for NbV2Pd after structural relaxation.

a = 3.719 Å, b = 3.719 Å, c = 9.829 Å
α = 79.09°, β = 79.09°, γ = 90.00°
Sites, in units of the cell vectors:
V: 0.375 0.385 0.750
V: 0.615 0.125 0.250
V: 0.135 0.625 0.250
V: 0.875 0.865 0.750
Pd: 0.000 0.000 0.000
Pd: 0.750 0.250 0.500
Nb: 0.500 0.500 0.000
Nb: 0.250 0.750 0.500

The formation energy from the elements comes out at 453 meV per atom. The volume comes out at 131 Å³/cell. Its space-group type is I-42d (122). Its total energy is -63.4 eV per cell.

- What is the V in the first record?
  155 Å³/cell